Crystalline LaTbPrY at its relaxed geometry. Source: the Alexandria database, functional PBE-GGA.

Summary:
DFT total energy: -20.696 eV per cell
crystal system: tetragonal
energy relative to the elements: 0.03 eV/atom
density of states at the Fermi level: 6.70 states/eV/cell
SG: I-4m2
energy above the most stable polymorph in this dataset: 0 kJ/mol of formula units

Lattice parameters (Å, degrees): 5.1705 5.1768 6.3177 114.19 114.16 90.00
With the nearest neighbours (Å) after each atom.
Element x y z (fractional)
La  0.4454  0.4454  0.8908  4 Y 3.65, 4 Pr 3.65, 4 Tb 3.66
Tb  0.9457  0.9457  0.8913  4 Y 3.65, 4 Pr 3.65, 4 La 3.66
Pr  0.1956  0.6956  0.3913  4 Tb 3.65, 4 La 3.65, 4 Y 3.66
Y  0.6955  0.1955  0.3911  4 La 3.65, 4 Tb 3.65, 4 Pr 3.66

=====

Crystalline LaTbPrY3 at its relaxed geometry. Source: the Alexandria database, functional PBE-GGA.

Summary:
DFT total energy: -66.227 eV per cell
crystal system: orthorhombic
energy relative to the elements: 0.10 eV/atom
density of states at the Fermi level: 25.51 states/eV/cell
SG: Cmcm

Lattice parameters (Å, degrees): 5.9528 6.4618 11.9145 90.00 90.00 117.43
With the nearest neighbours (Å) after each atom.
Element x y z (fractional)
La  0.5007  0.0014  0.7499  7 Y 3.57-3.77, 3 Tb 3.58-3.74
La  0.4993  0.9986  0.2501  7 Y 3.57-3.77, 3 Tb 3.58-3.74
Tb  0.8270  0.6541  0.7499  4 Y 3.46-3.47, 2 Pr 3.58, 3 La 3.58-3.74
Tb  0.1730  0.3459  0.2501  4 Y 3.46-3.47, 2 Pr 3.58, 3 La 3.58-3.74
Pr  0.0000  0.0000  0.5000  8 Y 3.57-3.74, 2 Tb 3.58
Pr  0.0000  0.0000  0.0000  8 Y 3.58-3.74, 2 Tb 3.58
Y  0.6736  0.3473  0.5000  3 Y 3.45-3.46, 1 Tb 3.46, 2 La 3.58-3.59, 3 Pr 3.58-3.74
Y  0.3264  0.6527  0.5000  3 Y 3.45-3.46, 1 Tb 3.46, 2 La 3.58-3.59, 3 Pr 3.58-3.74
Y  0.3264  0.6528  0.9999  3 Y 3.45-3.46, 1 Tb 3.46, 2 La 3.58-3.59, 3 Pr 3.58-3.74
Y  0.6736  0.3472  0.0001  3 Y 3.45-3.46, 1 Tb 3.46, 2 La 3.58-3.59, 3 Pr 3.58-3.74
Y  0.1722  0.3445  0.7499  2 Y 3.46, 2 Tb 3.47, 3 La 3.57-3.77, 2 Pr 3.57-3.58
Y  0.8278  0.6555  0.2501  2 Y 3.46, 2 Tb 3.47, 3 La 3.57-3.77, 2 Pr 3.57-3.58

=====

Crystalline LaTb2PrY2 at its relaxed geometry. Source: the Alexandria database, functional PBE-GGA.

Summary:
DFT total energy: -60.418 eV per cell
crystal system: orthorhombic
energy relative to the elements: 0.28 eV/atom
density of states at the Fermi level: 22.23 states/eV/cell
SG: Pnnm

Lattice parameters (Å, degrees): 3.4160 6.6911 18.0495 90.00 90.00 90.00
With the nearest neighbours (Å) after each atom.
Element x y z (fractional)
La  0.0000  0.0000  0.0000  2 Y 3.31, 2 La 3.42, 2 Tb 3.63
La  0.5000  0.5000  0.5000  2 Y 3.31, 2 La 3.42, 2 Tb 3.63
Tb  0.5000  0.2737  0.3172  4 Y 3.37-3.43, 2 Tb 3.42, 1 La 3.63
Tb  0.0000  0.7737  0.1828  4 Y 3.37-3.43, 2 Tb 3.42, 1 La 3.63
Tb  0.5000  0.7263  0.6828  4 Y 3.37-3.43, 2 Tb 3.42, 1 La 3.63
Tb  0.0000  0.2263  0.8172  4 Y 3.37-3.43, 2 Tb 3.42, 1 La 3.63
Pr  0.5000  0.5000  0.0000  2 Pr 3.42, 4 Y 3.56, 4 La 3.76
Pr  0.0000  0.0000  0.5000  2 Pr 3.42, 4 Y 3.56, 4 La 3.76
Y  0.5000  0.7762  0.3479  1 La 3.31, 4 Tb 3.37-3.43, 2 Y 3.42, 2 Pr 3.56
Y  0.5000  0.2238  0.6521  1 La 3.31, 4 Tb 3.37-3.43, 2 Y 3.42, 2 Pr 3.56
Y  0.0000  0.7238  0.8479  1 La 3.31, 4 Tb 3.37-3.43, 2 Y 3.42, 2 Pr 3.56
Y  0.0000  0.2762  0.1521  1 La 3.31, 4 Tb 3.37-3.43, 2 Y 3.42, 2 Pr 3.56

=====

Crystalline LaTb5PrY2 at its relaxed geometry. Source: the Alexandria database, functional PBE-GGA.

Summary:
DFT total energy: -86.540 eV per cell
crystal system: tetragonal
energy relative to the elements: 0.28 eV/atom
density of states at the Fermi level: 23.19 states/eV/cell
SG: I4/mcm

Lattice parameters (Å, degrees): 8.7763 8.7763 9.9899 116.06 116.06 90.00
With the nearest neighbours (Å) after each atom.
Element x y z (fractional)
La  0.2500  0.2500  0.5000  10 Tb 3.64-3.91
La  0.7500  0.7500  0.5000  10 Tb 3.64-3.91
Tb  0.9330  0.4330  0.2696  1 Y 3.07, 1 Pr 3.09
Tb  0.6634  0.1634  0.7304  1 Y 3.07, 1 Pr 3.09
Tb  0.0670  0.5670  0.7304  1 Y 3.07, 1 Pr 3.09
Tb  0.1634  0.0670  0.7304  1 Y 3.07, 1 Pr 3.09
Tb  0.5670  0.6634  0.7304  1 Y 3.07, 1 Pr 3.09
Tb  0.8366  0.9330  0.2696  1 Y 3.07, 1 Pr 3.09
Tb  0.4330  0.3366  0.2696  1 Y 3.07, 1 Pr 3.09
Tb  0.3366  0.8366  0.2696  1 Y 3.07, 1 Pr 3.09
Tb  0.5000  0.5000  0.0000  4 Y 3.50, 8 Tb 3.80, 2 La 3.91
Tb  0.0000  0.0000  0.0000  4 Y 3.50, 8 Tb 3.80, 2 La 3.91
Pr  0.2500  0.7500  0.5000  4 Tb 3.09
Pr  0.7500  0.2500  0.5000  4 Tb 3.09
Y  0.1189  0.3811  0.0000  1 Y 2.95, 2 Tb 3.07
Y  0.6189  0.1189  0.0000  1 Y 2.95, 2 Tb 3.07
Y  0.3811  0.8811  0.0000  1 Y 2.95, 2 Tb 3.07
Y  0.8811  0.6189  0.0000  1 Y 2.95, 2 Tb 3.07